(1)
First-principles (PBE-GGA) data for a geometry-optimized Pa2Pt3 structure, as listed in Alexandria.

Calculated values
Relative energy among the computed polymorphs = 0.000 eV per atom
Symmetry = P-3m1 (164)
Energy relative to the elements = -0.889 eV per atom
Total magnetization = 0.000 μB per formula unit
Final energy = -8.3118 eV per atom

Cell: 3.947 3.947 8.516 Å, 90.00 90.00 120.00°
Element x y z (fractional)
Pa1 0.667 0.333 0.789
Pa2 0.333 0.667 0.211
Pt1 0.667 0.333 0.398
Pt2 0.333 0.667 0.602
Pt3 0.000 0.000 0.000

(2)
First-principles (PBE-GGA) data for a geometry-optimized Li2Ca2Si4Ni structure, as listed in Alexandria.

Calculated values
Symmetry = I4/mmm (139)
Formation energy from raw total energies = -0.367 eV/atom
Total magnetization = 0.000 μB per formula unit
Final energy = -4.2894 eV per atom

Cell: 6.100 6.100 6.100 Å, 84.87 123.00 123.00°
Element x y z (fractional)
Li1 0.000 0.722 0.722
Li2 0.000 0.278 0.278
Ca1 0.500 0.750 0.250
Ca2 0.500 0.250 0.750
Si1 0.000 0.716 0.284
Si2 0.432 0.716 0.716
Si3 0.000 0.284 0.716
Si4 0.568 0.284 0.284
Ni1 0.000 0.000 0.000

(3)
First-principles (PBE-GGA) data for a geometry-optimized BeAg2Mo structure, as listed in Alexandria.

Calculated values
Symmetry = Cmmm (65)
Energy relative to the elements = 0.606 eV per atom
Total magnetization = 0.001 μB per formula unit
Final energy = -4.4593 eV per atom

Cell: 5.126 5.126 2.655 Å, 90.00 90.00 116.37°
Element x y z (fractional)
Be1 0.500 0.000 0.500
Mo1 0.000 0.500 0.500
Ag1 0.000 0.000 0.000
Ag2 0.500 0.500 0.000

(4)
First-principles (PBE-GGA) data for a geometry-optimized BaY2Tc structure, as listed in Alexandria.

Calculated values
Relative energy among the computed polymorphs = 0.485 eV per atom
Symmetry = I-42d (122)
Energy relative to the elements = 0.590 eV per atom
Total magnetization = 0.000 μB per formula unit
Final energy = -5.7147 eV per atom

Cell: 8.071 8.071 8.065 Å, 59.98 59.98 90.00°
Element x y z (fractional)
Y1 0.376 0.125 0.250
Y2 0.374 0.625 0.250
Y3 0.375 0.624 0.750
Y4 0.875 0.626 0.750
Ba1 0.000 0.000 0.000
Ba2 0.750 0.250 0.500
Tc1 0.500 0.500 0.000
Tc2 0.250 0.750 0.500

(5)
First-principles (PBE-GGA) data for a geometry-optimized HoZnO structure, as listed in Alexandria.

Calculated values
Symmetry = R-3m (166)
Formation energy from raw total energies = -1.982 eV/atom
Total magnetization = 0.000 μB per formula unit
Final energy = -5.5856 eV per atom

Cell: 3.766 3.766 8.886 Å, 77.77 77.77 60.00°
Element x y z (fractional)
Ho1 0.611 0.611 0.167
Ho2 0.389 0.389 0.833
O1 0.300 0.300 0.100
O2 0.700 0.700 0.900
Zn1 0.856 0.856 0.433
Zn2 0.144 0.144 0.567

(6)
First-principles (PBE-GGA) data for a geometry-optimized BeTlMo2 structure, as listed in Alexandria.

Calculated values
Relative energy among the computed polymorphs = 0.175 eV per atom
Symmetry = Cmm2 (35)
Energy relative to the elements = 0.538 eV per atom
Total magnetization = 0.000 μB per formula unit
Final energy = -6.4009 eV per atom

Cell: 2.889 2.889 8.558 Å, 90.00 90.00 111.10°
Element x y z (fractional)
Be1 0.500 0.500 0.776
Tl1 0.000 0.000 0.519
Mo1 0.000 0.000 0.982
Mo2 0.500 0.500 0.223

no.,DOS at the Fermi energy (states/eV per cell)
1,6.50
2,2.29
3,3.74
4,4.75
5,0.49
6,2.55